(1)
A plane-wave DFT calculation with GGA-PBEsol was carried out for an optimized crystal structure of Zr2MnFeAu.

abc: 4.5413 4.5413 4.8266
angles: 90.00 90.00 90.00
Element x y z (fractional)
Zr  0.0000  0.5000  0.0000
Zr  0.5000  0.0000  0.0000
Mn  0.0000  0.0000  0.5000
Fe  0.5000  0.5000  0.0000
Au  0.5000  0.5000  0.5000

Output
Magnetization, μB per formula unit: 4.10
Space group: P4/mmm (123)
Formation energy, eV/f.u.: 2.511
E, eV/atom: -7.663

(2)
A plane-wave DFT calculation with GGA-PBEsol was carried out for an optimized crystal structure of Zn3In.

abc: 4.9538 4.9538 4.9538
angles: 131.31 131.31 71.33
Element x y z (fractional)
Zn  0.0000  0.0000  0.0000
Zn  0.2500  0.7500  0.5000
Zn  0.7500  0.2500  0.5000
In  0.5000  0.5000  0.0000

Output
Magnetization, μB per formula unit: 0.00
Space group: I4/mmm (139)
Formation energy, eV/f.u.: 0.407
E, eV/atom: -1.830

(3)
A plane-wave DFT calculation with GGA-PBEsol was carried out for an optimized crystal structure of RbIrSeN2.

abc: 4.0860 4.0860 6.1533
angles: 90.00 90.00 90.00
Element x y z (fractional)
Rb  0.0000  0.0000  0.0000
Ir  0.5000  0.5000  0.5000
Se  0.0000  0.0000  0.5000
N  0.0000  0.5000  0.0000
N  0.5000  0.0000  0.0000

Output
Magnetization, μB per formula unit: 4.21
Energy relative to the elements, uncorrected, eV/atom: 3.175
Space group: P4/mmm (123)
E, eV/atom: -3.175

(4)
A plane-wave DFT calculation with GGA-PBEsol was carried out for an optimized crystal structure of GeRh2Se.

abc: 4.3500 4.3500 4.3500
angles: 60.00 60.00 60.00
Element x y z (fractional)
Ge  0.0000  0.0000  0.0000
Rh  0.2500  0.2500  0.2500
Rh  0.7500  0.7500  0.7500
Se  0.5000  0.5000  0.5000

Output
Magnetization, μB per formula unit: 0.00
Energy relative to the elements, uncorrected, eV/atom: -0.104
Space group: Fm-3m (225)
E, eV/atom: -6.371

(5)
A plane-wave DFT calculation with GGA-PBEsol was carried out for an optimized crystal structure of AlFe2Hg.

abc: 2.7963 2.7963 7.0703
angles: 90.00 90.00 90.00
Element x y z (fractional)
Al  0.0000  0.0000  0.0000
Fe  0.5000  0.5000  0.2208
Fe  0.5000  0.5000  0.7792
Hg  0.0000  0.0000  0.5000

Output
Magnetization, μB per formula unit: 4.15
Space group: P4/mmm (123)
Formation energy, eV/f.u.: 0.496
E, eV/atom: -5.522

(6)
A plane-wave DFT calculation with GGA-PBEsol was carried out for an optimized crystal structure of MoPtN2F.

abc: 3.9195 3.9195 4.0300
angles: 90.00 90.00 90.00
Element x y z (fractional)
Mo  0.0000  0.0000  0.0000
Pt  0.5000  0.5000  0.5000
N  0.0000  0.5000  0.5000
N  0.5000  0.0000  0.5000
F  0.5000  0.5000  0.0000

Output
Magnetization, μB per formula unit: 2.14
Energy relative to the elements, uncorrected, eV/atom: 1.178
Space group: P4/mmm (123)
E, eV/atom: -6.364

(7)
A plane-wave DFT calculation with GGA-PBEsol was carried out for an optimized crystal structure of KAlFe.

abc: 4.8074 4.8074 4.8074
angles: 60.00 60.00 60.00
Element x y z (fractional)
K  0.0000  0.0000  0.0000
Al  0.7500  0.7500  0.7500
Fe  0.5000  0.5000  0.5000

Output
Magnetization, μB per formula unit: 2.67
Space group: F-43m (216)
Formation energy, eV/f.u.: 3.912
E, eV/atom: -3.426

(8)
A plane-wave DFT calculation with GGA-PBEsol was carried out for an optimized crystal structure of BaZnHg2.

abc: 3.8119 4.5094 6.6318
angles: 90.00 106.26 90.00
Element x y z (fractional)
Ba  0.0000  0.0000  0.0000
Zn  0.3707  0.5000  0.7315
Hg  0.2674  0.0000  0.5256
Hg  0.6648  0.5000  0.3323

Output
Magnetization, μB per formula unit: 0.00
Space group: Pm (6)
Formation energy, eV/f.u.: -0.920
E, eV/atom: -1.446

(9)
A plane-wave DFT calculation with GGA-PBEsol was carried out for an optimized crystal structure of ScZn2Hg.

abc: 4.5888 4.5888 4.5888
angles: 119.69 119.69 90.55
Element x y z (fractional)
Sc  0.0000  0.0000  0.0000
Zn  0.5000  0.5000  0.0000
Zn  0.7500  0.2500  0.5000
Hg  0.2500  0.7500  0.5000

Output
Magnetization, μB per formula unit: 0.00
Space group: I-4m2 (119)
Formation energy, eV/f.u.: -1.193
E, eV/atom: -2.882

(10)
A plane-wave DFT calculation with GGA-PBEsol was carried out for an optimized crystal structure of LiInO2.

abc: 5.8408 5.8408 5.8408
angles: 133.64 133.64 67.65
Element x y z (fractional)
Li  0.0000  0.0000  0.0000
Li  0.7500  0.2500  0.5000
In  0.2500  0.7500  0.5000
In  0.5000  0.5000  0.0000
O  0.1102  0.6250  0.9852
O  0.3750  0.3602  0.4852
O  0.6398  0.1250  0.0148
O  0.8750  0.8898  0.5148

Output
Magnetization, μB per formula unit: 0.00
Energy relative to the elements, uncorrected, eV/atom: -1.673
Space group: I-42d (122)
E, eV/atom: -5.535

(11)
A plane-wave DFT calculation with GGA-PBEsol was carried out for an optimized crystal structure of TbIn5Rh.

abc: 4.5796 4.5796 7.3689
angles: 90.00 90.00 90.00
Element x y z (fractional)
Tb  0.0000  0.0000  0.0000
In  0.0000  0.5000  0.3001
In  0.0000  0.5000  0.6999
In  0.5000  0.0000  0.3001
In  0.5000  0.0000  0.6999
In  0.5000  0.5000  0.0000
Rh  0.0000  0.0000  0.5000

Output
Magnetization, μB per formula unit: 0.00
Space group: P4/mmm (123)
Formation energy, eV/f.u.: -3.307
E, eV/atom: -4.481

(12)
A plane-wave DFT calculation with GGA-PBEsol was carried out for an optimized crystal structure of Nd4Se3N2.

abc: 8.2365 8.2365 6.3682
angles: 90.46 90.46 75.62
Element x y z (fractional)
Nd  0.0572  0.6912  0.5312
Nd  0.2545  0.4156  0.0695
Nd  0.3088  0.9428  0.9688
Nd  0.4156  0.2545  0.5695
Nd  0.5844  0.7455  0.4305
Nd  0.6912  0.0572  0.0312
Nd  0.7455  0.5844  0.9305
Nd  0.9428  0.3088  0.4688
Se  0.0160  0.7555  0.0339
Se  0.2445  0.9840  0.4661
Se  0.4038  0.5962  0.7500
Se  0.5962  0.4038  0.2500
Se  0.7555  0.0160  0.5339
Se  0.9840  0.2445  0.9661
N  0.1706  0.4182  0.4150
N  0.4182  0.1706  0.9150
N  0.5818  0.8294  0.0850
N  0.8294  0.5818  0.5850

Output
Magnetization, μB per formula unit: 0.00
Energy relative to the elements, uncorrected, eV/atom: -1.784
Space group: C2/c (15)
E, eV/atom: -7.258

(13)
A plane-wave DFT calculation with GGA-PBEsol was carried out for an optimized crystal structure of Mg2CoCuN.

abc: 4.1756 4.1756 3.7637
angles: 90.00 90.00 90.00
Element x y z (fractional)
Mg  0.0000  0.5000  0.0000
Mg  0.5000  0.0000  0.0000
Co  0.0000  0.0000  0.5000
Cu  0.5000  0.5000  0.5000
N  0.5000  0.5000  0.0000

Output
Magnetization, μB per formula unit: 1.20
Energy relative to the elements, uncorrected, eV/atom: 0.139
Space group: P4/mmm (123)
E, eV/atom: -4.668

(14)
A plane-wave DFT calculation with GGA-PBEsol was carried out for an optimized crystal structure of Sm2ZnHg.

abc: 5.1692 5.1692 5.1692
angles: 60.00 60.00 60.00
Element x y z (fractional)
Sm  0.2500  0.2500  0.2500
Sm  0.7500  0.7500  0.7500
Zn  0.0000  0.0000  0.0000
Hg  0.5000  0.5000  0.5000

Output
Magnetization, μB per formula unit: 0.59
Space group: Fm-3m (225)
Formation energy, eV/f.u.: -1.655
E, eV/atom: -3.497

(15)
A plane-wave DFT calculation with GGA-PBEsol was carried out for an optimized crystal structure of CaLa2In.

abc: 4.9856 4.9856 4.9969
angles: 90.00 90.00 90.00
Element x y z (fractional)
Ca  0.0000  0.0000  0.0000
La  0.0000  0.5000  0.5000
La  0.5000  0.0000  0.5000
In  0.5000  0.5000  0.0000

Output
Magnetization, μB per formula unit: 0.00
Space group: P4/mmm (123)
Formation energy, eV/f.u.: -1.034
E, eV/atom: -4.211

(16)
A plane-wave DFT calculation with GGA-PBEsol was carried out for an optimized crystal structure of Pt2PbWO.

abc: 4.5928 4.5928 3.8578
angles: 90.00 90.00 90.00
Element x y z (fractional)
Pt  0.0000  0.5000  0.0000
Pt  0.5000  0.0000  0.0000
Pb  0.0000  0.0000  0.5000
W  0.5000  0.5000  0.5000
O  0.5000  0.5000  0.0000

Output
Magnetization, μB per formula unit: 0.00
Energy relative to the elements, uncorrected, eV/atom: 0.336
Space group: P4/mmm (123)
E, eV/atom: -7.060

(17)
A plane-wave DFT calculation with GGA-PBEsol was carried out for an optimized crystal structure of Li2V2O5F2.

abc: 7.0189 7.0189 6.7751
angles: 117.37 117.37 60.42
Element x y z (fractional)
Li  0.0105  0.9895  0.5000
Li  0.1832  0.6214  0.1525
Li  0.6214  0.1832  0.6525
Li  0.9895  0.0105  0.0000
V  0.1260  0.5494  0.5718
V  0.5494  0.1260  0.0718
V  0.6101  0.6251  0.6189
V  0.6251  0.6101  0.1189
O  0.2605  0.6613  0.5199
O  0.2820  0.2876  0.0422
O  0.2876  0.2820  0.5422
O  0.5046  0.6461  0.3253
O  0.5335  0.9071  0.7819
O  0.5574  0.8876  0.1572
O  0.6461  0.5046  0.8253
O  0.6613  0.2605  0.0199
O  0.8876  0.5574  0.6572
O  0.9071  0.5335  0.2819
F  0.2485  0.6625  0.9109
F  0.6625  0.2485  0.4109
F  0.9089  0.9525  0.6832
F  0.9525  0.9089  0.1832

Output
Magnetization, μB per formula unit: 0.00
Energy relative to the elements, uncorrected, eV/atom: -2.468
Space group: Cc (9)
E, eV/atom: -7.313

(18)
A plane-wave DFT calculation with GGA-PBEsol was carried out for an optimized crystal structure of CuOs2Ru.

abc: 5.1475 5.1475 2.6577
angles: 103.88 103.88 118.54
Element x y z (fractional)
Cu  0.0000  0.0000  0.0000
Os  0.0000  0.5000  0.5000
Os  0.5000  0.0000  0.5000
Ru  0.5000  0.5000  0.0000

Output
Magnetization, μB per formula unit: 0.00
Space group: C2/m (12)
Formation energy, eV/f.u.: 2.599
E, eV/atom: -9.085

(19)
A plane-wave DFT calculation with GGA-PBEsol was carried out for an optimized crystal structure of Li2MnP4O12.

abc: 4.9780 7.1126 7.2765
angles: 68.79 84.83 70.69
Element x y z (fractional)
Li  0.0450  0.2749  0.0572
Li  0.9550  0.7251  0.9428
Mn  0.0000  0.0000  0.5000
P  0.4364  0.4026  0.2793
P  0.4464  0.2004  0.7069
P  0.5536  0.7996  0.2931
P  0.5636  0.5974  0.7207
O  0.2219  0.1698  0.8504
O  0.2411  0.4444  0.1165
O  0.2567  0.7364  0.7133
O  0.2961  0.3029  0.4871
O  0.2971  0.9889  0.2915
O  0.4202  0.6252  0.2908
O  0.5798  0.3748  0.7092
O  0.7029  0.0111  0.7085
O  0.7039  0.6971  0.5129
O  0.7433  0.2636  0.2867
O  0.7589  0.5556  0.8835
O  0.7781  0.8302  0.1496

Output
Magnetization, μB per formula unit: 5.00
Energy relative to the elements, uncorrected, eV/atom: -2.128
Space group: P-1 (2)
E, eV/atom: -7.384

(20)
A plane-wave DFT calculation with GGA-PBEsol was carried out for an optimized crystal structure of CdAg2Hg.

abc: 4.7019 4.7019 4.7019
angles: 60.00 60.00 60.00
Element x y z (fractional)
Cd  0.0000  0.0000  0.0000
Ag  0.5000  0.5000  0.5000
Ag  0.7500  0.7500  0.7500
Hg  0.2500  0.2500  0.2500

Output
Magnetization, μB per formula unit: 0.00
Space group: F-43m (216)
Formation energy, eV/f.u.: -0.025
E, eV/atom: -2.103

(21)
A plane-wave DFT calculation with GGA-PBEsol was carried out for an optimized crystal structure of CsTcSb2Te.

abc: 5.9846 5.9846 5.9338
angles: 90.00 90.00 90.00
Element x y z (fractional)
Cs  0.0000  0.0000  0.0000
Tc  0.5000  0.5000  0.5000
Sb  0.0000  0.5000  0.0000
Sb  0.5000  0.0000  0.0000
Te  0.0000  0.0000  0.5000

Output
Magnetization, μB per formula unit: 4.42
Energy relative to the elements, uncorrected, eV/atom: 2.320
Space group: P4/mmm (123)
E, eV/atom: -2.650

(22)
A plane-wave DFT calculation with GGA-PBEsol was carried out for an optimized crystal structure of Li3FeNi3O8.

abc: 5.7292 5.7292 5.7292
angles: 59.30 59.30 59.30
Element x y z (fractional)
Li  0.0000  0.5000  0.5000
Li  0.5000  0.0000  0.5000
Li  0.5000  0.5000  0.0000
Fe  0.5000  0.5000  0.5000
Ni  0.0000  0.0000  0.5000
Ni  0.0000  0.5000  0.0000
Ni  0.5000  0.0000  0.0000
O  0.2395  0.2395  0.2395
O  0.2513  0.7304  0.7304
O  0.2696  0.2696  0.7487
O  0.2696  0.7487  0.2696
O  0.7304  0.2513  0.7304
O  0.7304  0.7304  0.2513
O  0.7487  0.2696  0.2696
O  0.7605  0.7605  0.7605

Output
Magnetization, μB per formula unit: 1.01
Energy relative to the elements, uncorrected, eV/atom: -1.305
Space group: R-3m (166)
E, eV/atom: -6.327

(23)
A plane-wave DFT calculation with GGA-PBEsol was carried out for an optimized crystal structure of HgBr2.

abc: 7.1200 7.1200 7.1007
angles: 90.00 90.00 148.58
Element x y z (fractional)
Hg  0.0835  0.9165  0.7500
Hg  0.9165  0.0835  0.2500
Br  0.2823  0.7177  0.2500
Br  0.4442  0.5558  0.7500
Br  0.5558  0.4442  0.2500
Br  0.7177  0.2823  0.7500

Output
Magnetization, μB per formula unit: 0.00
Energy relative to the elements, uncorrected, eV/atom: -0.313
Space group: Cmcm (63)
E, eV/atom: -1.749

(24)
A plane-wave DFT calculation with GGA-PBEsol was carried out for an optimized crystal structure of YSc2Ag.

abc: 6.1389 6.1389 6.1389
angles: 147.16 131.51 59.81
Element x y z (fractional)
Y  0.0000  0.0000  0.0000
Sc  0.2812  0.7812  0.5000
Sc  0.7188  0.2188  0.5000
Ag  0.5000  0.5000  0.0000

Output
Magnetization, μB per formula unit: 0.00
Space group: Immm (71)
Formation energy, eV/f.u.: -0.501
E, eV/atom: -5.961

(25)
A plane-wave DFT calculation with GGA-PBEsol was carried out for an optimized crystal structure of Sr4MnIn.

abc: 6.8870 6.8870 6.8870
angles: 60.00 60.00 60.00
Element x y z (fractional)
Sr  0.1251  0.1251  0.1251
Sr  0.1251  0.1251  0.6246
Sr  0.1251  0.6246  0.1251
Sr  0.6246  0.1251  0.1251
Mn  0.7500  0.7500  0.7500
In  0.5000  0.5000  0.5000

Output
Magnetization, μB per formula unit: 3.85
Space group: F-43m (216)
Formation energy, eV/f.u.: 4.385
E, eV/atom: -2.620

(26)
A plane-wave DFT calculation with GGA-PBEsol was carried out for an optimized crystal structure of Os2Ru2Pb.

abc: 6.3011 6.3011 6.3011
angles: 144.05 144.05 51.76
Element x y z (fractional)
Os  0.1075  0.1075  0.0000
Os  0.8925  0.8925  0.0000
Ru  0.2500  0.7500  0.5000
Ru  0.7500  0.2500  0.5000
Pb  0.5000  0.5000  0.0000

Output
Magnetization, μB per formula unit: 0.00
Space group: I4/mmm (139)
Formation energy, eV/f.u.: 3.714
E, eV/atom: -9.012